Compound: SrTlBi2
Source: the Alexandria database
Functional: PBE
Structure: optimized geometry

For the density of states at the Fermi level, the calculation gives 2.02 states/eV per cell. The calculated formation energy comes out at -1.56 eV per formula unit. Its total energy is -3.342 eV per atom. The calculation puts the size of the total moment at 0.00 μB/cell.

Structure (POSCAR):
```
SrTlBi2
1.0
4.512 0.000 0.000
0.000 4.512 0.000
0.000 0.000 6.836
Sr Tl Bi
1 1 2
Direct
0.000 0.000 0.000 Sr
0.000 0.000 0.500 Tl
0.500 0.500 0.228 Bi
0.500 0.500 0.772 Bi
```

---

Compound: Sr4Tl3Bi
Source: the Alexandria database
Functional: PBE
Structure: optimized geometry

For the density of states at the Fermi level, the calculation gives 4.20 states/eV per cell. The calculated formation energy comes out at -4.15 eV per formula unit. Its total energy is -2.732 eV per atom. The calculation puts the size of the total moment at 0.00 μB/cell.

Structure (POSCAR):
```
Sr4Tl3Bi
1.0
4.166 0.000 0.000
0.000 4.166 0.000
0.000 0.000 16.064
Sr Tl Bi
4 3 1
Direct
0.000 0.000 0.123 Sr
0.000 0.000 0.376 Sr
0.000 0.000 0.624 Sr
0.000 0.000 0.877 Sr
0.500 0.500 0.255 Tl
0.500 0.500 0.500 Tl
0.500 0.500 0.745 Tl
0.500 0.500 0.000 Bi
```

---

What did the second record say?
Compound: Sr4Tl3Bi
Source: the Alexandria database
Functional: PBE
Structure: optimized geometry

For the density of states at the Fermi level, the calculation gives 4.20 states/eV per cell. The calculated formation energy comes out at -4.15 eV per formula unit. Its total energy is -2.732 eV per atom. The calculation puts the size of the total moment at 0.00 μB/cell.

Structure (POSCAR):
```
Sr4Tl3Bi
1.0
4.166 0.000 0.000
0.000 4.166 0.000
0.000 0.000 16.064
Sr Tl Bi
4 3 1
Direct
0.000 0.000 0.123 Sr
0.000 0.000 0.376 Sr
0.000 0.000 0.624 Sr
0.000 0.000 0.877 Sr
0.500 0.500 0.255 Tl
0.500 0.500 0.500 Tl
0.500 0.500 0.745 Tl
0.500 0.500 0.000 Bi
```

---

Q: calculated formation energy of number 1 (SrTlBi2)?
A: -1.56 eV per formula unit

---

Q: Look up the size of the total moment of the first one.
A: 0.00 μB/cell